DFT (PBE) results for a relaxed Cu7Ag3 crystal.

Cell: 2.726 3.697 13.605 Å, 90.00 90.00 90.00°
Element x y z (fractional)
Ag: 0.500 0.000 0.895
Ag: 0.500 0.000 0.105
Cu: 0.000 0.500 0.789
Cu: 0.000 0.500 0.000
Cu: 0.000 0.500 0.393
Cu: 0.500 0.000 0.698
Cu: 0.500 0.000 0.302
Cu: 0.000 0.500 0.607
Ag: 0.500 0.000 0.500
Cu: 0.000 0.500 0.211

Summary:
- Space group: No. 47
- DFT formation energy: 83 meV per atom
- ρ: 9.31 Mg/m³



DFT (PBE) results for a relaxed Er2TlZn2Ga crystal.

Cell: 4.532 4.532 7.187 Å, 90.00 90.00 120.00°
Element x y z (fractional)
Zn: 0.000 0.000 0.311
Ga: 0.000 0.000 0.713
Zn: 0.333 0.667 0.781
Tl: 0.333 0.667 0.215
Er: 0.667 0.333 0.988
Er: 0.667 0.333 0.505

Summary:
- Space group: No. 156
- ρ: 9.60 Mg/m³
- Uncorrected energy: -3.273 eV per atom



DFT (PBE) results for a relaxed K2RbGdAs2O8 crystal.

Cell: 5.898 5.898 7.618 Å, 90.00 90.00 120.00°
Element x y z (fractional)
O: 0.667 0.333 0.484
O: 0.823 0.177 0.176
O: 0.177 0.355 0.824
K: 0.667 0.333 0.812
O: 0.645 0.823 0.824
As: 0.333 0.667 0.735
As: 0.667 0.333 0.265
O: 0.333 0.667 0.516
Rb: 0.000 0.000 0.500
K: 0.333 0.667 0.188
O: 0.177 0.823 0.824
O: 0.823 0.645 0.176
Gd: 0.000 0.000 0.000
O: 0.355 0.177 0.176

Summary:
- Space group: No. 164
- ρ: 4.33 Mg/m³
- Uncorrected energy: -6.061 eV per atom



DFT (PBE) results for a relaxed Ta2Sn2Os3 crystal.

Cell: 7.719 7.719 7.719 Å, 33.73 33.73 33.73°
Element x y z (fractional)
Os: 0.876 0.876 0.876
Os: 0.625 0.625 0.625
Os: 0.372 0.372 0.372
Ta: 0.753 0.753 0.753
Sn: 0.008 0.008 0.008
Sn: 0.495 0.495 0.495
Ta: 0.246 0.246 0.246

Summary:
- Space group: No. 160
- ρ: 15.38 Mg/m³
- Uncorrected energy: -9.455 eV per atom



DFT (PBE) results for a relaxed YSiNi crystal.

Cell: 7.664 7.664 3.189 Å, 90.00 90.00 120.00°
Element x y z (fractional)
Ni: 0.000 0.632 0.000
Si: 0.667 0.333 0.500
Y: 0.709 0.709 0.500
Y: 0.291 0.000 0.500
Y: 0.000 0.291 0.500
Si: 0.333 0.667 0.500
Ni: 0.368 0.368 0.000
Ni: 0.632 0.000 0.000
Si: 0.000 0.000 0.000

Summary:
- Space group: No. 189
- ρ: 5.40 Mg/m³
- Uncorrected energy: -5.947 eV per atom



DFT (PBE) results for a relaxed RePIr crystal.

Cell: 6.422 6.422 3.761 Å, 90.00 90.00 120.00°
Element x y z (fractional)
Ir: 0.000 0.616 0.000
Re: 0.333 0.667 0.500
Re: 0.000 0.000 0.000
Ir: 0.384 0.384 0.000
P: 0.272 0.000 0.500
Ir: 0.616 0.000 0.000
P: 0.728 0.728 0.500
Re: 0.667 0.333 0.500
P: 0.000 0.272 0.500

Summary:
- Space group: No. 189
- ρ: 15.18 Mg/m³
- Uncorrected energy: -8.774 eV per atom



DFT (PBE) results for a relaxed NiBr crystal.

Cell: 3.721 3.721 3.721 Å, 57.45 57.45 57.45°
Site moments in Bohr magnetons follow the coordinates.
Element x y z (fractional)
Ni: 0.500 0.500 0.500  0.49
Br: 0.000 0.000 0.000  0.06

Summary:
- Space group: No. 166
- ρ: 6.71 Mg/m³
- Uncorrected energy: -3.384 eV per atom



DFT (PBE) results for a relaxed MgNbAsO crystal.

Cell: 4.066 4.066 9.187 Å, 90.00 90.00 90.00°
Element x y z (fractional)
O: 0.250 0.750 0.000
As: 0.750 0.750 0.325
As: 0.250 0.250 0.675
Nb: 0.250 0.750 0.500
Mg: 0.750 0.750 0.988
Mg: 0.250 0.250 0.012
O: 0.750 0.250 0.000
Nb: 0.750 0.250 0.500

Summary:
- Space group: No. 129
- ρ: 4.55 Mg/m³
- Uncorrected energy: -6.445 eV per atom



DFT (PBE) results for a relaxed PuNbAu crystal.

Cell: 4.566 4.566 4.566 Å, 60.00 60.00 60.00°
Site moments in Bohr magnetons follow the coordinates.
Element x y z (fractional)
Au: 0.500 0.500 0.500  -0.02
Pu: 0.250 0.250 0.250  4.70
Nb: 0.000 0.000 0.000  0.08

Summary:
- Space group: No. 216
- DFT formation energy: 657 meV per atom
- ρ: 13.17 Mg/m³



DFT (PBE) results for a relaxed SrSnHgS4 crystal.

Cell: 10.574 6.266 6.266 Å, 115.85 90.00 90.00°
Element x y z (fractional)
Sn: 0.750 0.134 0.561
S: 0.250 0.655 0.546
Hg: 0.750 0.553 0.210
S: 0.072 0.353 0.883
S: 0.250 0.949 0.122
S: 0.750 0.122 0.949
S: 0.928 0.883 0.353
S: 0.572 0.883 0.353
S: 0.428 0.353 0.883
S: 0.750 0.546 0.655
Sn: 0.250 0.561 0.134
Hg: 0.250 0.210 0.553
Sr: 0.500 0.837 0.837
Sr: 0.000 0.837 0.837

Summary:
- Space group: No. 40
- ρ: 4.76 Mg/m³
- Uncorrected energy: -4.038 eV per atom



DFT (PBE) results for a relaxed NbFeGeW crystal.

Cell: 4.387 4.387 4.387 Å, 60.00 60.00 60.00°
Element x y z (fractional)
Nb: 0.500 0.500 0.500
Ge: 0.000 0.000 0.000
Fe: 0.750 0.750 0.750
W: 0.250 0.250 0.250

Summary:
- Space group: No. 216
- ρ: 11.27 Mg/m³
- Uncorrected energy: -8.808 eV per atom



DFT (PBE) results for a relaxed HfGeIr crystal.

Cell: 4.284 4.284 6.562 Å, 90.00 90.00 120.00°
Element x y z (fractional)
Ir: 0.667 0.333 0.552
Ge: 0.333 0.667 0.463
Hf: 0.000 0.000 0.236
Hf: 0.000 0.000 0.736
Ir: 0.333 0.667 0.052
Ge: 0.667 0.333 0.963

Summary:
- Space group: No. 186
- ρ: 14.12 Mg/m³
- Uncorrected energy: -8.564 eV per atom



- Look up the ρ of the fourth one.
  15.38 Mg/m³